(1)
DFT (PBEsol) results for ZrOs2Ru after structural relaxation.

```
ZrOs2Ru
1.0
2.7408 0.0000 0.0000
-1.3704 2.3736 0.0000
0.0000 0.0000 28.0225
Zr Os Ru
3 6 3
Cartesian
0.0000 0.0000 0.0000
0.0000 1.5824 18.6817
1.3704 0.7912 9.3408
0.0000 0.0000 6.8074
0.0000 0.0000 21.2151
0.0000 1.5824 11.8743
0.0000 1.5824 25.4890
1.3704 0.7912 2.5335
1.3704 0.7912 16.1482
0.0000 0.0000 14.0112
0.0000 1.5824 4.6704
1.3704 0.7912 23.3520
```

Results
Its calculated volume is 15.192 Å³ per atom. The value obtained for the total magnetization is 0.00 μB per formula unit. The value obtained for the total DFT energy (no corrections) is -128.6 eV for the cell shown. The value obtained for the formation energy is 206 meV/atom. The excess energy over the best structure of this formula in the dataset comes out at 176 meV/atom.

---

(2)
DFT (PBEsol) results for Sr2B5H2O11 after structural relaxation.

```
Sr2B5H2O11
1.0
5.0580 -4.0282 0.0000
5.0580 4.0282 0.0000
-3.8646 0.0000 5.0260
Sr B H O
2 5 2 11
Cartesian
0.4485 0.0000 2.0853
5.8028 0.0000 2.9407
2.6485 -0.2597 0.0218
5.0580 -0.9022 0.0000
3.3690 -2.2799 1.2252
3.6029 -0.2597 5.0042
2.8824 -2.2799 3.8008
3.7478 1.6207 1.2526
2.5035 1.6207 3.7734
-2.2528 0.5987 4.7760
2.0938 1.8228 2.9032
4.1575 1.8228 2.1228
0.0577 -0.0276 4.6051
2.3165 -1.3210 0.8354
6.1937 -0.0276 0.4209
1.5652 -1.6507 3.8274
4.6861 -1.6507 1.1986
8.5042 0.5987 0.2500
3.1257 -2.8995 2.5130
3.9349 -1.3210 4.1907
```

Results
Its calculated volume is 10.240 Å³ per atom. The value obtained for the total magnetization is 0.97 μB per formula unit. The value obtained for the total DFT energy (no corrections) is -150.2 eV for the cell shown.